MnBiTeO5 | PBE with a Hubbard U | optimized geometry

Calculated values
- DFT total energy: -5.973 eV per atom
- Density of states at the Fermi level: 1.9 states/eV/f.u.
- Total magnetic moment: 4.003 μB/f.u.

POSCAR file:
```
MnBiTeO5
1.0
6.538 -0.356 -0.526
-2.249 6.150 -0.526
-2.366 -3.196 7.532
Bi O Te Mn
2 10 2 2
direct
0.000 0.000 0.000
0.000 0.000 0.500
0.176 0.426 0.566
0.031 0.619 0.877
0.426 0.176 0.066
0.824 0.574 0.434
0.969 0.381 0.123
0.068 0.932 0.250
0.932 0.068 0.750
0.619 0.031 0.377
0.381 0.969 0.623
0.574 0.824 0.934
0.746 0.254 0.250
0.254 0.746 0.750
0.751 0.249 0.750
0.249 0.751 0.250
```